VASP calculation (PBE) on a relaxed BeV3P2 crystal.

Cell: 3.371 9.053 9.276 Å, 90.00 90.00 90.00°
Fractional coordinates of all 24 atoms:
V 0.250 0.061 0.876
V 0.750 0.939 0.124
V 0.750 0.207 0.283
V 0.250 0.707 0.217
V 0.750 0.876 0.449
V 0.250 0.376 0.051
V 0.750 0.561 0.624
V 0.250 0.439 0.376
V 0.250 0.793 0.717
V 0.750 0.293 0.783
V 0.250 0.124 0.551
V 0.750 0.624 0.949
Be 0.250 0.126 0.128
Be 0.750 0.626 0.372
Be 0.750 0.874 0.872
Be 0.250 0.374 0.628
P 0.750 0.313 0.517
P 0.750 0.187 0.017
P 0.750 0.998 0.687
P 0.250 0.498 0.813
P 0.250 0.687 0.483
P 0.250 0.813 0.983
P 0.750 0.502 0.187
P 0.250 0.002 0.313

Results
The magnetic moment is 0.000 μB per atom. The symmetry is No. 62. Its energy of formation is -0.623 eV/atom. Its crystal system is orthorhombic. The density of states at the Fermi level comes out at 0.80 states/eV/atom.